Run w
Below is crystalline LiPm3Ga2 at its relaxed geometry, with properties calculated at the PBE-GGA level.

Values from the calculation:
mass density: 6289 kg/m³
calculated volume: 154 Å³/cell

a b c (Å): 3.6648 3.6648 11.4299
angles (deg): 90.00 90.00 90.00
With the nearest neighbours (Å) after each atom.
Positions (direct):
Ga  0.5000  0.5000  0.1676  8 Pm 3.10-3.22
Pm  0.0000  0.0000  0.0000  8 Ga 3.22
Li  0.5000  0.5000  0.5000  8 Pm 3.33, 4 Li 3.66
Ga  0.5000  0.5000  0.8324  8 Pm 3.10-3.22
Pm  0.0000  0.0000  0.3169  4 Ga 3.10, 4 Li 3.33
Pm  0.0000  0.0000  0.6831  4 Ga 3.10, 4 Li 3.33

Run x
Below is crystalline LiPm3Ga2 at its relaxed geometry, with properties calculated at the PBE-GGA level.

Values from the calculation:
mass density: 6401 kg/m³
calculated volume: 302 Å³/cell

a b c (Å): 5.2158 5.2158 12.8026
angles (deg): 90.00 90.00 120.00
With the nearest neighbours (Å) after each atom.
Positions (direct):
Pm  0.0000  0.0000  0.7575  5 Ga 3.10-3.30, 3 Li 3.20
Pm  0.3333  0.6667  0.9227  7 Ga 3.17-3.28, 1 Li 3.20
Ga  0.3333  0.6667  0.1784  8 Pm 3.06-3.28
Pm  0.0000  0.0000  0.2425  5 Ga 3.10-3.30, 3 Li 3.20
Li  0.6667  0.3333  0.3272  8 Pm 3.20-3.27, 3 Ga 3.56
Ga  0.0000  0.0000  0.5000  8 Pm 3.19-3.30
Pm  0.3333  0.6667  0.4177  4 Ga 3.06-3.19, 4 Li 3.23-3.27
Ga  0.6667  0.3333  0.8216  8 Pm 3.06-3.28
Li  0.3333  0.6667  0.6728  8 Pm 3.20-3.27, 3 Ga 3.56
Pm  0.6667  0.3333  0.0773  7 Ga 3.17-3.28, 1 Li 3.20
Pm  0.6667  0.3333  0.5823  4 Ga 3.06-3.19, 4 Li 3.23-3.27
Ga  0.0000  0.0000  0.0000  8 Pm 3.10-3.17

Top of the stability list: run x, leading by 2.9 kJ/mol of atoms.